(1)
Density functional theory data (PBE) for a geometry-optimized Li2Ni3As2 structure.

Cell and atoms, written as POSCAR:
```
Li2Ni3As2
1.0
3.6904 0.0000 0.0000
-1.8452 4.5102 -0.0772
0.0000 -2.1639 5.8516
Li As Ni
2 2 3
Direct
0.1295 0.2590 0.7601
0.8705 0.7410 0.2399
0.8458 0.6916 0.7820
0.1542 0.3084 0.2180
0.6291 0.2582 0.4365
0.3709 0.7418 0.5635
0.5000 0.0000 0.0000
```

Output
Energy of formation: -370 meV per atom
Crystal system: monoclinic
D(E_F): 3.8 states/eV/cell

(2)
Density functional theory data (PBE) for a geometry-optimized LiNiAs structure.

Cell and atoms, written as POSCAR:
```
LiNiAs
1.0
-4.7918 -3.1399 3.6450
2.5451 -0.3166 3.0767
-1.4517 3.5842 -1.0376
Li As Ni
2 2 2
Direct
0.4454 0.1917 0.2665
0.9778 0.0355 0.9536
0.2027 0.7774 0.4374
0.6740 0.6013 0.0863
0.5744 0.9011 0.6859
0.2937 0.4748 0.8320
```

Output
Energy of formation: -469 meV per atom
Crystal system: monoclinic
D(E_F): 3.0 states/eV/cell